Record 1
{"formula": "AsIr2Pb", "functional": "PBEsol", "state": "relaxed", "total_energy_ev_per_atom": -6.536, "e_form_ev_per_atom": 0.65, "dos_at_fermi_per_ev_fu": 3.3, "de_polymorph_mev_per_atom": 416, "spacegroup": "Pmmm (47)", "lattice": [[2.9841, 0.0000, 0.0000], [0.0000, 4.5267, 0.0000], [0.0000, 0.0000, 5.1166]], "species": ["Pb", "As", "Ir", "Ir"], "frac_coords": [[0.5000, 0.5000, 0.0000], [0.0000, 0.5000, 0.5000], [0.0000, 0.0000, 0.0000], [0.5000, 0.0000, 0.5000]]}

***

Record 2
{"formula": "YCo2Cl", "functional": "PBEsol", "state": "relaxed", "total_energy_ev_per_atom": -5.856, "raw_formation_energy_ev_per_atom": 0.22, "dos_at_fermi_per_ev_fu": 8.3, "de_polymorph_mev_per_atom": 608, "spacegroup": "I-4m2 (119)", "lattice": [[4.4113, 0.0000, 0.0000], [-2.2057, 3.9607, 0.0475], [0.0000, 2.4124, 3.6933]], "species": ["Y", "Co", "Co", "Cl"], "frac_coords": [[0.5000, 0.0000, 0.5000], [0.0000, 0.0000, 0.0000], [0.2500, 0.5000, 0.2500], [0.7500, 0.5000, 0.7500]]}

***

Record 3
{"formula": "Na2PtPbCl", "functional": "PBEsol", "state": "relaxed", "total_energy_ev_per_atom": -3.037, "raw_formation_energy_ev_per_atom": 0.12, "dos_at_fermi_per_ev_fu": 3.1, "spacegroup": "P4/mmm (123)", "lattice": [[-4.4882, -0.1143, -2.0027], [-1.7210, -4.1779, 4.0952], [-1.7972, 4.4399, 3.7743]], "species": ["Pb", "Na", "Na", "Pt", "Cl"], "frac_coords": [[0.0000, 0.0000, 0.0000], [0.0000, 0.0000, 0.5000], [0.0000, 0.5000, 0.0000], [0.5000, 0.0000, 0.0000], [0.5000, 0.5000, 0.5000]]}

***

Record 4
{"formula": "GeTe2Ir", "functional": "PBEsol", "state": "relaxed", "total_energy_ev_per_atom": -4.923, "raw_formation_energy_ev_per_atom": 0.53, "dos_at_fermi_per_ev_fu": 3.0, "spacegroup": "R-3m (166)", "lattice": [[-2.5417, 0.3514, 1.5789], [-1.7656, -2.3759, 0.5609], [4.2052, -2.6207, 10.2273]], "species": ["Ge", "Ir", "Te", "Te"], "frac_coords": [[0.5000, 0.5000, 0.5000], [0.0000, 0.0000, 0.0000], [0.9241, 0.9241, 0.2277], [0.0759, 0.0759, 0.7723]]}

***

Record 5
{"formula": "HfNi3H", "functional": "PBEsol", "state": "relaxed", "total_energy_ev_per_atom": -6.776, "dos_at_fermi_per_ev_fu": 5.7, "spacegroup": "Pm-3m (221)", "lattice": [[3.7392, 0.0000, 0.0000], [0.0000, 3.7392, 0.0000], [0.0000, 0.0000, 3.7392]], "species": ["Ni", "Ni", "Ni", "Hf", "H"], "frac_coords": [[0.0000, 0.5000, 0.0000], [0.0000, 0.0000, 0.5000], [0.5000, 0.0000, 0.0000], [0.5000, 0.5000, 0.5000], [0.0000, 0.0000, 0.0000]]}

***

Record 6
{"formula": "ScFe2Os", "functional": "PBEsol", "state": "relaxed", "total_energy_ev_per_atom": -9.111, "e_form_ev_per_atom": 0.08, "dos_at_fermi_per_ev_fu": 3.6, "de_polymorph_mev_per_atom": 0, "spacegroup": "Pm (6)", "lattice": [[-2.2547, 1.3316, -0.5879], [-1.3987, -0.6440, 3.9055], [2.7869, 3.6718, 1.6035]], "species": ["Fe", "Fe", "Os", "Sc"], "frac_coords": [[0.9278, 0.0000, 0.0080], [0.8005, 0.5000, 0.2582], [0.5192, 0.0000, 0.4662], [0.2525, 0.5000, 0.7676]]}

***

Record 7
{"formula": "AlSiTe3", "functional": "PBEsol", "state": "relaxed", "total_energy_ev_per_atom": -4.332, "raw_formation_energy_ev_per_atom": -0.25, "spacegroup": "P-31m (162)", "lattice": [[6.8189, 0.0000, 0.0000], [-3.4095, 5.9054, 0.0000], [0.0000, 0.0000, 7.1282]], "species": ["Si", "Si", "Te", "Te", "Te", "Te", "Te", "Te", "Al", "Al"], "frac_coords": [[0.0000, 0.0000, 0.6603], [0.0000, 0.0000, 0.3397], [0.0000, 0.6429, 0.7494], [0.6429, 0.0000, 0.7494], [0.3571, 0.3571, 0.7494], [0.0000, 0.3571, 0.2506], [0.3571, 0.0000, 0.2506], [0.6429, 0.6429, 0.2506], [0.6667, 0.3333, 0.5000], [0.3333, 0.6667, 0.5000]]}

***

Record 8
{"formula": "YSb2Ir", "functional": "PBEsol", "state": "relaxed", "total_energy_ev_per_atom": -6.832, "raw_formation_energy_ev_per_atom": -0.39, "dos_at_fermi_per_ev_fu": 2.5, "spacegroup": "Immm (71)", "lattice": [[3.5308, 0.0000, 0.0000], [0.0000, 4.6584, 0.0000], [-1.7654, -2.3292, 5.9488]], "species": ["Ir", "Sb", "Sb", "Y"], "frac_coords": [[0.0000, 0.5000, 0.0000], [0.6756, 0.6756, 0.3512], [0.3244, 0.3244, 0.6488], [0.5000, 0.0000, 0.0000]]}

***

Record 9
{"formula": "Ta2SbTe", "functional": "PBEsol", "state": "relaxed", "total_energy_ev_per_atom": -7.796, "raw_formation_energy_ev_per_atom": 0.50, "dos_at_fermi_per_ev_fu": 3.3, "de_polymorph_mev_per_atom": 503, "spacegroup": "F-43m (216)", "lattice": [[-0.9991, 3.0374, 3.6532], [-2.8983, -1.4305, 3.6226], [1.8525, -0.8177, 4.4124]], "species": ["Sb", "Ta", "Ta", "Te"], "frac_coords": [[0.5000, 0.5000, 0.5000], [0.0000, 0.0000, 0.0000], [0.7500, 0.7500, 0.7500], [0.2500, 0.2500, 0.2500]]}

***

Record 10
{"formula": "BaBe7", "functional": "PBEsol", "state": "relaxed", "total_energy_ev_per_atom": -2.607, "e_form_ev_per_atom": 1.16, "dos_at_fermi_per_ev_fu": 2.5, "spacegroup": "Fm-3m (225)", "lattice": [[5.2186, 0.0000, 0.0000], [2.6093, 4.5194, 0.0000], [2.6093, 1.5065, 4.2609]], "species": ["Be", "Be", "Be", "Be", "Be", "Be", "Be", "Ba"], "frac_coords": [[0.0000, 0.0000, 0.5000], [0.0000, 0.5000, 0.0000], [0.5000, 0.0000, 0.0000], [0.5000, 0.5000, 0.0000], [0.5000, 0.0000, 0.5000], [0.0000, 0.5000, 0.5000], [0.5000, 0.5000, 0.5000], [0.0000, 0.0000, 0.0000]]}

***

Record 11
{"formula": "AlSbAs", "functional": "PBEsol", "state": "relaxed", "total_energy_ev_per_atom": -4.399, "raw_formation_energy_ev_per_atom": 0.19, "dos_at_fermi_per_ev_fu": 2.1, "spacegroup": "F-43m (216)", "lattice": [[4.6088, 0.0000, 0.0000], [2.3044, 3.9913, 0.0000], [2.3044, 1.3304, 3.7631]], "species": ["Sb", "As", "Al"], "frac_coords": [[0.5000, 0.5000, 0.5000], [0.0000, 0.0000, 0.0000], [0.2500, 0.2500, 0.2500]]}

***

Record 12
{"formula": "ScFe2Cu", "functional": "PBEsol", "state": "relaxed", "total_energy_ev_per_atom": -7.173, "e_form_ev_per_atom": 0.04, "dos_at_fermi_per_ev_fu": 4.5, "spacegroup": "P4mm (99)", "lattice": [[3.0070, 0.0000, 0.0000], [0.0000, 3.0070, 0.0000], [0.0000, 0.0000, 5.9356]], "species": ["Cu", "Fe", "Fe", "Sc"], "frac_coords": [[0.5000, 0.5000, 0.7835], [0.0000, 0.0000, 0.0132], [0.5000, 0.5000, 0.2123], [0.0000, 0.0000, 0.4910]]}

***

Number 1: spin magnetization 0.000 μB per atom. Number 2: spin magnetization 0.772 μB per atom. Number 3: spin magnetization 0.000 μB per atom. Number 4: spin magnetization 0.000 μB per atom. Number 5: spin magnetization 0.000 μB per atom. Number 6: spin magnetization 0.953 μB per atom. Number 7: spin magnetization 0.000 μB per atom. Number 8: spin magnetization 0.000 μB per atom. Number 9: spin magnetization 0.000 μB per atom. Number 10: spin magnetization 0.000 μB per atom. Number 11: spin magnetization 0.000 μB per atom. Number 12: spin magnetization 1.064 μB per atom.